(1)
La6PmDy2 | PBE-GGA | relaxed

```
La6PmDy2
1.0
3.672 0.000 0.000
-1.836 3.180 0.000
0.000 0.000 27.679
La Pm Dy
6 1 2
Direct
0.667 0.333 0.890
0.333 0.667 0.434
0.333 0.667 0.776
0.333 0.667 0.224
0.333 0.667 0.566
0.667 0.333 0.110
0.333 0.667 0.000
0.667 0.333 0.330
0.667 0.333 0.670
```

Summary:
The formation energy is 57 meV/atom. The calculation puts the mass density at 6.70 g/cm3. The polymorph energy (0 for the lowest one) comes out at 0 meV/atom. The total energy is -4.779 eV per atom.

***

(2)
PaBrO3 | PBE-GGA | relaxed

```
PaBrO3
1.0
-2.202 3.340 -1.767
-3.778 -1.905 1.106
0.075 2.083 3.845
Pa O Br
1 3 1
Direct
0.000 0.000 0.000
0.000 0.500 0.000
0.000 0.000 0.500
0.500 0.000 0.000
0.500 0.500 0.500
```

Summary:
The calculation puts the mass density at 7.12 g/cm3. The total energy is -7.286 eV per atom. The raw formation energy is -10.39 eV/f.u.

***

(3)
FeTe4Au | PBE-GGA | relaxed

```
FeTe4Au
1.0
-3.335 -0.184 -2.106
2.069 -6.440 -2.713
-4.895 -4.777 8.168
Fe Te Au
2 8 2
Direct
0.000 0.000 0.500
0.500 0.500 0.000
0.500 0.161 0.383
0.000 0.339 0.117
0.500 0.839 0.617
0.000 0.661 0.883
0.000 0.715 0.357
0.500 0.785 0.143
0.000 0.285 0.643
0.500 0.215 0.857
0.500 0.500 0.500
0.000 0.000 0.000
```

Summary:
The calculation puts the mass density at 8.27 g/cm3. The polymorph energy (0 for the lowest one) comes out at 0 meV/atom. The total energy is -4.109 eV per atom. The raw formation energy is -0.35 eV/f.u.

***

(4)
CoNi2IrSe6 | PBE-GGA | relaxed

```
CoNi2IrSe6
1.0
-2.133 5.758 -1.089
-5.253 0.650 5.919
5.035 4.191 4.488
Co Ni Ir Se
2 4 2 12
Direct
0.250 0.255 0.745
0.750 0.745 0.255
0.177 0.759 0.600
0.323 0.400 0.241
0.823 0.241 0.400
0.677 0.600 0.759
0.250 0.905 0.095
0.750 0.095 0.905
0.144 0.975 0.802
0.356 0.198 0.025
0.856 0.025 0.198
0.644 0.802 0.975
0.375 0.883 0.370
0.125 0.630 0.117
0.625 0.117 0.630
0.875 0.370 0.883
0.846 0.739 0.530
0.654 0.470 0.261
0.154 0.261 0.470
0.346 0.530 0.739
```

Summary:
The calculation puts the mass density at 7.33 g/cm3. The total energy is -5.064 eV per atom. The raw formation energy is -2.21 eV/f.u.

***

(5)
LaTb3Sm6Dy2 | PBE-GGA | relaxed

```
LaTb3Sm6Dy2
1.0
6.252 0.000 0.018
-3.125 5.415 0.018
-1.077 -1.864 11.774
La Tb Sm Dy
1 3 6 2
Direct
0.000 0.000 0.000
0.167 0.833 0.500
0.833 0.167 0.500
0.500 0.500 0.500
0.916 0.581 0.748
0.750 0.750 0.252
0.084 0.419 0.252
0.581 0.916 0.748
0.250 0.250 0.748
0.419 0.084 0.252
0.333 0.667 0.000
0.667 0.333 0.000
```

Summary:
The formation energy is 17 meV/atom. The calculation puts the mass density at 7.67 g/cm3. The total energy is -4.677 eV per atom.

***

Q: What is the formula in the fourth record?
A: CoNi2IrSe6

***

Please write out number 1 again, unchanged.
La6PmDy2 | PBE-GGA | relaxed

```
La6PmDy2
1.0
3.672 0.000 0.000
-1.836 3.180 0.000
0.000 0.000 27.679
La Pm Dy
6 1 2
Direct
0.667 0.333 0.890
0.333 0.667 0.434
0.333 0.667 0.776
0.333 0.667 0.224
0.333 0.667 0.566
0.667 0.333 0.110
0.333 0.667 0.000
0.667 0.333 0.330
0.667 0.333 0.670
```

Summary:
The formation energy is 57 meV/atom. The calculation puts the mass density at 6.70 g/cm3. The polymorph energy (0 for the lowest one) comes out at 0 meV/atom. The total energy is -4.779 eV per atom.